Entry from Alexandria: NaLi2As2 after structural relaxation (PBE). Values from VASP.

Structure (Quantum ESPRESSO input):
```
&SYSTEM
  ibrav = 0, nat = 10, ntyp = 3
/
ATOMIC_SPECIES
Na 22.99 Na.upf
As 74.92 As.upf
Li 6.94 Li.upf
CELL_PARAMETERS angstrom
-1.423 -7.872 0.106
5.937 -1.002 5.268
-1.790 0.352 2.085
ATOMIC_POSITIONS crystal
Na 0.000 0.000 0.000
Na 0.500 0.500 0.000
As 0.175 0.675 0.500
As 0.675 0.825 0.500
As 0.825 0.325 0.500
As 0.325 0.175 0.500
Li 0.380 0.880 0.000
Li 0.880 0.620 0.000
Li 0.620 0.120 0.000
Li 0.120 0.380 0.000
```

Crystal system: tetragonal
Formation energy: -0.486 eV per atom